This record from Alexandria via LeMat-Bulk describes an optimized crystal structure of Tm3ZnNi8. The functional is PBE.

VASP energy (eV per atom): -5.536
Spin magnetization (μB per cell): 0.00
Formation enthalpy at 0 K (kJ per mole of atoms): -44
ρ (g/cm³): 10.1

Unit cell a=8.5859 b=8.5859 c=8.5859 alpha=33.47 beta=33.47 gamma=33.47
Last column: nearest neighbours and their distance in Å.
Positions (direct):
Tm1 0.0000 0.0000 0.0000  12 Ni 2.78-2.97, 3 Zn 2.95
Tm2 0.1290 0.1290 0.1290  12 Ni 2.89-2.95, 4 Tm 3.12-3.13
Tm3 0.5145 0.5145 0.5145  12 Ni 2.80-3.11, 1 Zn 2.95, 3 Tm 3.12
Zn1 0.6359 0.6359 0.6359  12 Ni 2.78-2.96, 4 Tm 2.95
Ni1 0.0659 0.5685 0.5685  6 Ni 2.46-2.48
Ni2 0.0704 0.0704 0.5655  6 Ni 2.45-2.50
Ni3 0.0704 0.5655 0.0704  6 Ni 2.45-2.50
Ni4 0.3179 0.3179 0.3179  6 Ni 2.45-2.48
Ni5 0.5655 0.0704 0.0704  6 Ni 2.45-2.50
Ni6 0.5685 0.0659 0.5685  6 Ni 2.46-2.48
Ni7 0.5685 0.5685 0.0659  6 Ni 2.46-2.48
Ni8 0.8182 0.8182 0.8182  6 Ni 2.48-2.50

---

This record from Alexandria via LeMat-Bulk describes an optimized crystal structure of TbAl2W. The functional is PBE.

VASP energy (eV per atom): -6.112
Spin magnetization (μB per cell): 0.00
Formation enthalpy at 0 K (kJ per mole of atoms): 15
ρ (g/cm³): 8.6

Unit cell a=9.9525 b=9.9525 c=9.9525 alpha=17.32 beta=17.32 gamma=17.32
Last column: nearest neighbours and their distance in Å.
Positions (direct):
Tb1 0.0000 0.0000 0.0000  6 Tb 3.00, 6 Al 3.25
Al1 0.2400 0.2400 0.2400  3 W 2.76, 6 Al 3.00
Al2 0.7600 0.7600 0.7600  3 W 2.76, 6 Al 3.00
W1 0.5000 0.5000 0.5000  6 Al 2.76, 6 W 3.00